Density functional theory data (GGA-PBE) for RbMn2Pt2 after structural relaxation.

Geometry as extended XYZ:
```
5
Lattice="4.3898 0.0000 0.0000 0.0000 4.3898 0.0000 2.1949 2.1949 5.6112" Properties=species:S:1:pos:R:3 pbc="T T T"
Mn 4.3898 2.1949 2.8056
Mn 2.1949 4.3898 2.8056
Rb 0.0000 0.0000 0.0000
Pt 2.1949 2.1949 1.3579
Pt 4.3898 4.3898 4.2532
```

## Properties
Relative energy among the computed polymorphs: 0.000 eV per atom
Symmetry: I4/mmm, No. 139
Spin magnetization: 8.95 μB per formula unit

Density functional theory data (GGA-PBE) for Zn2CdBi2 after structural relaxation.

Geometry as extended XYZ:
```
10
Lattice="8.7382 0.0000 0.0000 0.0000 8.7382 0.0000 0.0000 0.0000 3.4752" Properties=species:S:1:pos:R:3 pbc="T T T"
Zn 0.8755 5.2446 1.7376
Zn 5.2446 7.8627 1.7376
Zn 7.8627 3.4936 1.7376
Zn 3.4936 0.8755 1.7376
Bi 2.5294 6.8985 0.0000
Bi 6.8985 6.2088 0.0000
Bi 6.2088 1.8397 0.0000
Bi 1.8397 2.5294 0.0000
Cd 0.0000 0.0000 0.0000
Cd 4.3691 4.3691 0.0000
```

## Properties
Relative energy among the computed polymorphs: 0.067 eV per atom
Symmetry: P4/mbm, No. 127
Spin magnetization: 0.00 μB per formula unit

Density functional theory data (GGA-PBE) for AlSb2P after structural relaxation.

Geometry as extended XYZ:
```
8
Lattice="-4.8578 3.0582 -1.5777 -2.3312 -4.9323 -2.3828 -6.4933 -2.4562 4.0003" Properties=species:S:1:pos:R:3 pbc="T T T"
Sb -4.9801 0.6992 -0.2934
Sb -3.6583 -3.3328 -0.6769
Sb -7.5518 -2.5152 1.5293
Sb -11.1744 -3.5116 -0.4796
Al -3.5945 -0.9370 -1.9803
Al -6.2095 -4.1627 -0.1814
P 0.0000 0.0000 0.0000
P -7.4728 -0.1675 0.2211
```

## Properties
Relative energy among the computed polymorphs: 0.279 eV per atom
Symmetry: I-42d, No. 122
ΔE_f (raw): 0.25 eV/atom
Spin magnetization: 0.00 μB per formula unit